Entry 1:
Density functional theory data (GGA-PBE) for crystalline BeSi3B at its relaxed geometry.

abc: 4.067 4.067 4.067
angles: 90.00 90.00 90.00
Space group Pm-3m (No. 221)
One atom of each set of equivalent atoms:
Be  0.000  0.000  0.000
Si  0.000  0.500  0.500
B  0.500  0.500  0.500

Calculated values
Its relative energy among the computed polymorphs is 0 meV/atom. The crystal system is cubic. Its density of states at the Fermi level is 1.843 states/eV/f.u.

Entry 2:
Density functional theory data (GGA-PBE) for crystalline Ta2BeSiB at its relaxed geometry.

abc: 4.719 4.719 3.624
angles: 90.00 90.00 90.00
Space group P4/mmm (No. 123)
One atom of each set of equivalent atoms:
Ta  0.000  0.500  0.000
Be  0.000  0.000  0.500
Si  0.500  0.500  0.000
B  0.500  0.500  0.500

Calculated values
The crystal system is tetragonal. Its density of states at the Fermi level is 6.283 states/eV/f.u.

Entry 3:
Density functional theory data (GGA-PBE) for crystalline SmBe2B6 at its relaxed geometry.

abc: 3.079 6.433 8.062
angles: 90.00 90.00 90.00
Space group Immm (No. 71)
One atom of each set of equivalent atoms:
Sm  0.000  0.000  0.000
Be  0.000  0.500  0.152
B  0.000  0.135  0.500
B  0.000  0.239  0.300

Calculated values
The crystal system is orthorhombic. The energy relative to the elements comes out at -0.189 eV per atom. Its density of states at the Fermi level is 1.664 states/eV/f.u.

Entry 4:
Density functional theory data (GGA-PBE) for crystalline SmBeB at its relaxed geometry.

abc: 4.901 3.160 6.222
angles: 90.00 100.20 90.00
Space group P2_1/m (No. 11)
One atom of each set of equivalent atoms:
Sm  0.183  0.250  0.267
Be  0.307  0.250  0.788
B  0.400  0.750  0.971

Calculated values
The crystal system is monoclinic. The energy relative to the elements comes out at -0.056 eV per atom. Its density of states at the Fermi level is 1.820 states/eV/f.u.

Entry 5:
Density functional theory data (GGA-PBE) for crystalline Be2SnB at its relaxed geometry.

abc: 4.008 4.008 12.946
angles: 90.00 90.00 90.00
Space group I-42d (No. 122)
One atom of each set of equivalent atoms:
Be  0.038  0.250  0.125
Sn  0.000  0.000  0.500
B  0.000  0.000  0.000

Calculated values
Its relative energy among the computed polymorphs is 0 meV/atom. The crystal system is tetragonal. The energy relative to the elements comes out at 0.437 eV per atom. Its density of states at the Fermi level is 1.263 states/eV/f.u.

Entry 6:
Density functional theory data (GGA-PBE) for crystalline Be3SnB at its relaxed geometry.

abc: 4.543 4.543 4.543
angles: 90.00 90.00 90.00
Space group Pm-3m (No. 221)
One atom of each set of equivalent atoms:
Be  0.000  0.000  0.500
Sn  0.000  0.000  0.000
B  0.500  0.500  0.500

Calculated values
Its relative energy among the computed polymorphs is 1484 meV/atom. The crystal system is cubic. The energy relative to the elements comes out at 1.995 eV per atom. Its density of states at the Fermi level is 2.980 states/eV/f.u.

Entry 7:
Density functional theory data (GGA-PBE) for crystalline Be4SnB12 at its relaxed geometry.

abc: 6.648 6.648 6.648
angles: 90.00 90.00 90.00
Space group Im-3 (No. 204)
One atom of each set of equivalent atoms:
Be  0.250  0.250  0.250
Sn  0.000  0.000  0.000
B  0.000  0.308  0.372

Calculated values
The crystal system is cubic. The energy relative to the elements comes out at 0.584 eV per atom. Its density of states at the Fermi level is 4.625 states/eV/f.u.

Entry 8:
Density functional theory data (GGA-PBE) for crystalline Be2SnB at its relaxed geometry.

abc: 5.900 5.900 5.900
angles: 90.00 90.00 90.00
Space group Fm-3m (No. 225)
One atom of each set of equivalent atoms:
Be  0.250  0.250  0.250
Sn  0.000  0.000  0.000
B  0.000  0.000  0.500

Calculated values
Its relative energy among the computed polymorphs is 762 meV/atom. The crystal system is cubic. The energy relative to the elements comes out at 1.198 eV per atom. Its density of states at the Fermi level is 2.387 states/eV/f.u.

Entry 9:
Density functional theory data (GGA-PBE) for crystalline Be3SnB at its relaxed geometry.

abc: 3.908 3.908 3.908
angles: 90.00 90.00 90.00
Space group Pm-3m (No. 221)
One atom of each set of equivalent atoms:
Be  0.000  0.000  0.500
Sn  0.500  0.500  0.500
B  0.000  0.000  0.000

Calculated values
Its relative energy among the computed polymorphs is 0 meV/atom. The crystal system is cubic. The energy relative to the elements comes out at 0.511 eV per atom. Its density of states at the Fermi level is 1.784 states/eV/f.u.

Entry 10:
Density functional theory data (GGA-PBE) for crystalline BeSn2B2 at its relaxed geometry.

abc: 7.081 7.081 3.846
angles: 90.00 90.00 90.00
Space group P4/mbm (No. 127)
One atom of each set of equivalent atoms:
Be  0.000  0.000  0.000
Sn  0.206  0.294  0.000
B  0.078  0.422  0.500

Calculated values
Its relative energy among the computed polymorphs is 0 meV/atom. The crystal system is tetragonal. The energy relative to the elements comes out at 1.005 eV per atom. Its density of states at the Fermi level is 2.703 states/eV/f.u.

Entry 11:
Density functional theory data (GGA-PBE) for crystalline BeSn2B at its relaxed geometry.

abc: 6.535 6.535 6.535
angles: 90.00 90.00 90.00
Space group Fm-3m (No. 225)
One atom of each set of equivalent atoms:
Be  0.000  0.000  0.000
Sn  0.250  0.250  0.250
B  0.000  0.000  0.500

Calculated values
Its relative energy among the computed polymorphs is 356 meV/atom. The crystal system is cubic. The energy relative to the elements comes out at 1.067 eV per atom. Its density of states at the Fermi level is 1.739 states/eV/f.u.

Entry 12:
Density functional theory data (GGA-PBE) for crystalline BeSn2B at its relaxed geometry.

abc: 5.792 5.792 9.901
angles: 90.00 90.00 90.00
Space group I-42d (No. 122)
One atom of each set of equivalent atoms:
Be  0.000  0.000  0.000
Sn  0.215  0.250  0.625
B  0.000  0.000  0.500

Calculated values
Its relative energy among the computed polymorphs is 0 meV/atom. The crystal system is tetragonal. The energy relative to the elements comes out at 0.712 eV per atom. Its density of states at the Fermi level is 2.416 states/eV/f.u.

Number 1: uncorrected energy -4.42 eV/atom. Number 2: uncorrected energy -6.63 eV/atom. Number 3: uncorrected energy -5.99 eV/atom. Number 4: uncorrected energy -5.10 eV/atom. Number 5: uncorrected energy -4.10 eV/atom. Number 6: uncorrected energy -2.38 eV/atom. Number 7: uncorrected energy -5.24 eV/atom. Number 8: uncorrected energy -3.33 eV/atom. Number 9: uncorrected energy -3.86 eV/atom. Number 10: uncorrected energy -4.01 eV/atom. Number 11: uncorrected energy -3.53 eV/atom. Number 12: uncorrected energy -3.89 eV/atom.